1.
First-principles (GGA-PBE) data for crystalline TlGeF6 at its relaxed geometry, as listed in the Alexandria database.

Lattice parameters (Å, degrees): 5.8289 5.8289 5.8289 55.12 55.12 55.12
Fractional coordinates of all 8 atoms:
Tl  0.0000  0.0000  0.0000
Ge  0.5000  0.5000  0.5000
F  0.1484  0.7050  0.4310
F  0.2950  0.5690  0.8516
F  0.4310  0.1484  0.7050
F  0.5690  0.8516  0.2950
F  0.7050  0.4310  0.1484
F  0.8516  0.2950  0.5690

- Excess energy over the best structure of this formula in the dataset: 0.00 eV per formula unit
- Space group: No. 148
- Formation energy from raw total energies: -2.16 eV/atom
- Total DFT energy (no corrections): -4.4381 eV per atom


2.
First-principles (GGA-PBE) data for crystalline BaMn2Cr at its relaxed geometry, as listed in the Alexandria database.

Lattice parameters (Å, degrees): 4.1656 5.9067 8.0801 90.00 90.00 90.00
Fractional coordinates of all 8 atoms:
Ba  0.0000  0.0000  0.0000
Ba  0.5000  0.5000  0.5000
Mn  0.0000  0.0000  0.4983
Mn  0.0000  0.5000  0.1763
Mn  0.5000  0.0000  0.6763
Mn  0.5000  0.5000  0.9983
Cr  0.0000  0.5000  0.8244
Cr  0.5000  0.0000  0.3244

- Excess energy over the best structure of this formula in the dataset: 1.62 eV per formula unit
- Energy of formation from the pure elements: 0.89 eV/atom
- Space group: No. 44
- Total DFT energy (no corrections): -6.5775 eV per atom


3.
First-principles (GGA-PBE) data for crystalline V4Fe2Ru at its relaxed geometry, as listed in the Alexandria database.

Lattice parameters (Å, degrees): 4.4873 4.4873 11.7574 90.00 90.00 90.00
Fractional coordinates of all 14 atoms:
V  0.0000  0.0000  0.2070
V  0.0000  0.0000  0.7930
V  0.0000  0.5000  0.0000
V  0.0000  0.5000  0.5000
V  0.5000  0.0000  0.0000
V  0.5000  0.0000  0.5000
V  0.5000  0.5000  0.2930
V  0.5000  0.5000  0.7070
Fe  0.0000  0.0000  0.3928
Fe  0.0000  0.0000  0.6072
Fe  0.5000  0.5000  0.1072
Fe  0.5000  0.5000  0.8928
Ru  0.0000  0.0000  0.0000
Ru  0.5000  0.5000  0.5000

- Excess energy over the best structure of this formula in the dataset: 3.23 eV per formula unit
- Energy of formation from the pure elements: 0.99 eV/atom
- Space group: No. 139
- Total DFT energy (no corrections): -7.9635 eV per atom


4.
First-principles (GGA-PBE) data for crystalline Tl2SbTeSe4 at its relaxed geometry, as listed in the Alexandria database.

Lattice parameters (Å, degrees): 8.6003 8.6003 8.4998 117.67 117.67 89.99
Fractional coordinates of all 16 atoms:
Tl  0.0000  0.0000  0.0000
Tl  0.0000  0.0000  0.5000
Tl  0.0000  0.5000  0.0000
Tl  0.5000  0.0000  0.5000
Sb  0.5000  0.5000  0.0000
Sb  0.5000  0.5000  0.5000
Te  0.0000  0.5000  0.5000
Te  0.5000  0.0000  0.0000
Se  0.2382  0.7149  0.4910
Se  0.2637  0.2928  0.5386
Se  0.2851  0.7618  0.0091
Se  0.2928  0.2637  0.0386
Se  0.7072  0.7363  0.9614
Se  0.7149  0.2382  0.9910
Se  0.7363  0.7072  0.4614
Se  0.7618  0.2851  0.5090

- Space group: No. 15
- Formation energy from raw total energies: -0.23 eV/atom
- Total DFT energy (no corrections): -3.4676 eV per atom


Please write out number 3 again, unchanged.
First-principles (GGA-PBE) data for crystalline V4Fe2Ru at its relaxed geometry, as listed in the Alexandria database.

Lattice parameters (Å, degrees): 4.4873 4.4873 11.7574 90.00 90.00 90.00
Fractional coordinates of all 14 atoms:
V  0.0000  0.0000  0.2070
V  0.0000  0.0000  0.7930
V  0.0000  0.5000  0.0000
V  0.0000  0.5000  0.5000
V  0.5000  0.0000  0.0000
V  0.5000  0.0000  0.5000
V  0.5000  0.5000  0.2930
V  0.5000  0.5000  0.7070
Fe  0.0000  0.0000  0.3928
Fe  0.0000  0.0000  0.6072
Fe  0.5000  0.5000  0.1072
Fe  0.5000  0.5000  0.8928
Ru  0.0000  0.0000  0.0000
Ru  0.5000  0.5000  0.5000

- Excess energy over the best structure of this formula in the dataset: 3.23 eV per formula unit
- Energy of formation from the pure elements: 0.99 eV/atom
- Space group: No. 139
- Total DFT energy (no corrections): -7.9635 eV per atom


Question: Which of these has the highest total DFT energy (no corrections)?
Answer: Tl2SbTeSe4


Question: Which formula does entry 1 have?
Answer: TlGeF6


Question: The highest total DFT energy (no corrections) belongs to which entry?
Answer: Tl2SbTeSe4